9
Lattice="3.6118 0.0000 0.0000 -1.8059 9.3452 -0.4795 0.0000 -3.7131 8.8443" Properties=species:S:1:pos:R:3 comment="PBE Pm2SmY4Tm2, optimized geometry" dft_energy_ev_per_atom=-5.439 formation_energy_ev_per_atom=0.01 magnetic_moment_mub_per_cell=0.0 pbc="T T T"
Pm 1.8059 5.3365 2.5992
Pm 0.0000 0.2956 5.7656
Sm 0.0000 0.0000 0.0000
Y 1.8059 3.4073 5.6020
Y 0.0000 2.2247 2.7628
Y 1.8059 -0.8833 2.9244
Y 0.0000 6.5153 5.4404
Tm 0.0000 2.5051 8.5147
Tm 1.8059 3.1270 -0.1499

***

6
Lattice="0.0000 5.2600 5.2600 5.2600 0.0000 5.2600 5.2600 5.2600 0.0000" Properties=species:S:1:pos:R:3 comment="PBE KCa4Cl, optimized geometry" dft_energy_ev_per_atom=-1.806 magnetic_moment_mub_per_cell=0.0 formation_energy_uncorrected_mev_per_atom=19.4 pbc="T T T"
K 0.0000 0.0000 0.0000
Ca 3.9358 6.5841 6.5841
Ca 6.5841 6.5841 3.9358
Ca 6.5841 3.9358 6.5841
Ca 3.9358 3.9358 3.9358
Cl 7.8899 7.8899 7.8899

***

4
Lattice="-0.0101 0.3793 3.4651 2.9891 -1.7848 0.2041 3.0519 5.0488 -0.5438" Properties=species:S:1:pos:R:3 comment="PBE MgMn2Sb, optimized geometry" dft_energy_ev_per_atom=-5.839 magnetic_moment_mub_per_cell=6.6 formation_energy_uncorrected_mev_per_atom=175.0 pbc="T T T"
Mg 3.8549 3.2104 1.4131
Mn 0.0524 0.0868 -0.0093
Mn 2.2205 0.5065 1.7043
Sb 1.4289 2.3639 -0.2546